PBE CaNpRuO6, optimized geometry; raw formation energy = -20.27 eV per formula unit; size of the total moment = 5.00 μB per cell; density of states at the Fermi level = 1.02 states/eV/atom; SG = P-31c, No. 163; theoretical density = 6.2 Mg/m³
1.0
-2.168 4.412 -2.113
-1.516 -4.826 -1.745
-7.387 -0.239 7.082
Ca Np Ru O
2 2 2 12
Direct
0.000 0.000 0.000
0.000 0.000 0.500
0.667 0.333 0.250
0.333 0.667 0.750
0.333 0.667 0.250
0.667 0.333 0.750
0.639 0.648 0.142
0.009 0.361 0.142
0.361 0.009 0.642
0.991 0.639 0.858
0.352 0.361 0.358
0.009 0.648 0.358
0.648 0.009 0.858
0.639 0.991 0.358
0.991 0.352 0.642
0.352 0.991 0.142
0.648 0.639 0.642
0.361 0.352 0.858

***

PBE CaNpS2O8, optimized geometry; raw formation energy = -21.73 eV per formula unit; size of the total moment = 4.94 μB per cell; density of states at the Fermi level = 0.87 states/eV/atom; SG = P-3m1, No. 164; theoretical density = 4.3 Mg/m³
1.0
5.238 0.000 0.000
-2.619 4.536 0.000
0.000 0.000 7.685
Ca Np S O
1 1 2 8
Direct
0.000 0.000 0.000
0.000 0.000 0.500
0.667 0.333 0.187
0.333 0.667 0.813
0.333 0.667 0.004
0.355 0.178 0.252
0.822 0.177 0.252
0.667 0.333 0.996
0.178 0.823 0.748
0.645 0.822 0.748
0.177 0.355 0.748
0.823 0.645 0.252

***

PBE Ca2NpScO6, optimized geometry; raw formation energy = -29.95 eV per formula unit; size of the total moment = 2.00 μB per cell; density of states at the Fermi level = 0.35 states/eV/atom; SG = P4mm, No. 99; theoretical density = 5.1 Mg/m³
1.0
4.373 0.000 0.000
0.000 5.842 0.000
0.000 0.000 5.842
Ca Np Sc O
2 1 1 6
Direct
0.017 0.500 0.000
0.017 0.000 0.500
0.646 0.000 0.000
0.616 0.500 0.500
0.708 0.250 0.250
0.708 0.250 0.750
0.167 0.500 0.500
0.152 0.000 0.000
0.708 0.750 0.750
0.708 0.750 0.250